Zn5Pb: relaxed, GGA-PBE.

Cell: 6.6261 6.6261 4.1817 Å, 90.00 90.00 142.97°
Last column: nearest neighbours and their distance in Å.
Atoms (fractional coordinates):
Zn 0.0000 0.0000 0.0000  4 Pb 2.97, 8 Zn 3.09-3.13
Zn 0.1813 0.8187 0.5000  8 Zn 2.68-2.97
Zn 0.3153 0.6847 0.0000  8 Zn 2.67-2.97
Zn 0.6847 0.3153 0.0000  8 Zn 2.67-2.97
Zn 0.8187 0.1813 0.5000  8 Zn 2.68-2.97
Pb 0.5000 0.5000 0.5000  12 Zn 2.97-3.12

Summary:
Crystal system: orthorhombic
Symmetry: No. 65
Formation energy from the elements, eV per atom: 0.151

***

BaMnAl2Si: relaxed, GGA-PBE.

Cell: 4.7441 4.7441 4.5480 Å, 90.00 90.00 90.00°
Last column: nearest neighbours and their distance in Å.
Atoms (fractional coordinates):
Ba 0.0000 0.0000 0.0000  8 Al 3.29, 4 Si 3.35
Mn 0.5000 0.5000 0.5000  2 Si 2.27, 4 Al 2.37
Al 0.0000 0.5000 0.5000  2 Mn 2.37
Al 0.5000 0.0000 0.5000  2 Mn 2.37
Si 0.5000 0.5000 0.0000  2 Mn 2.27

Summary:
Crystal system: tetragonal
Symmetry: No. 123
Uncorrected formation energy, kJ/mol of atoms: -22

***

Sc2RhN: relaxed, GGA-PBE.

Cell: 7.5570 7.5570 7.5570 Å, 23.92 23.92 23.92°
Last column: nearest neighbours and their distance in Å.
Atoms (fractional coordinates):
Sc 0.1102 0.1102 0.1102  3 N 2.19, 1 Rh 2.42
Sc 0.8898 0.8898 0.8898  3 N 2.19, 1 Rh 2.42
Rh 0.0000 0.0000 0.0000  2 Sc 2.42
N 0.5000 0.5000 0.5000  6 Sc 2.19

Summary:
Crystal system: trigonal
Symmetry: No. 166
Uncorrected formation energy, kJ/mol of atoms: -89

***

HgRuBr2: relaxed, GGA-PBE.

Cell: 5.0728 5.0728 5.0728 Å, 60.00 60.00 60.00°
Last column: nearest neighbours and their distance in Å.
Atoms (fractional coordinates):
Hg 0.0000 0.0000 0.0000  8 Br 3.11
Ru 0.5000 0.5000 0.5000  8 Br 3.11
Br 0.2500 0.2500 0.2500  4 Hg 3.11, 4 Ru 3.11
Br 0.7500 0.7500 0.7500  4 Hg 3.11, 4 Ru 3.11

Summary:
Crystal system: cubic
Symmetry: No. 225
Uncorrected formation energy, kJ/mol of atoms: 66
Polymorph energy (0 for the lowest one), meV per atom: 714

***

ScNiIN2: relaxed, GGA-PBE.

Cell: 3.9641 3.9641 7.0198 Å, 90.00 90.00 90.00°
Last column: nearest neighbours and their distance in Å.
Atoms (fractional coordinates):
Sc 0.0000 0.0000 0.0000  4 N 1.98
Ni 0.0000 0.0000 0.5000  4 I 2.80
I 0.5000 0.5000 0.5000  4 Ni 2.80
N 0.0000 0.5000 0.0000  2 Sc 1.98
N 0.5000 0.0000 0.0000  2 Sc 1.98

Summary:
Crystal system: tetragonal
Symmetry: No. 123
Uncorrected formation energy, kJ/mol of atoms: 93
Polymorph energy (0 for the lowest one), meV per atom: 77

***

TiHgF2: relaxed, GGA-PBE.

Cell: 6.9464 6.9464 6.9464 Å, 132.62 132.62 69.25°
Last column: nearest neighbours and their distance in Å.
Atoms (fractional coordinates):
Ti 0.3750 0.6250 0.7500  4 F 2.00
Ti 0.6250 0.3750 0.2500  4 F 2.00
Hg 0.1250 0.8750 0.2500  8 F 3.43
Hg 0.8750 0.1250 0.7500  8 F 3.43
F 0.0000 0.5000 0.5000  2 Ti 2.00
F 0.5000 0.0000 0.0000  2 Ti 2.00
F 0.5000 0.5000 0.0000  2 Ti 2.00
F 0.5000 0.5000 0.5000  2 Ti 2.00

Summary:
Crystal system: tetragonal
Symmetry: No. 141
Uncorrected formation energy, kJ/mol of atoms: -179
Polymorph energy (0 for the lowest one), meV per atom: 91

***

Nd4ZnN: relaxed, GGA-PBE.

Cell: 8.3235 8.3235 6.2884 Å, 104.65 104.65 120.32°
Last column: nearest neighbours and their distance in Å.
Atoms (fractional coordinates):
Nd 0.0578 0.6581 0.8540  1 N 2.49
Nd 0.1732 0.2697 0.6928  2 N 2.45-2.64
Nd 0.2697 0.1732 0.1928  2 N 2.45-2.64
Nd 0.3419 0.9422 0.6460  1 N 2.49
Nd 0.6581 0.0578 0.3540  1 N 2.49
Nd 0.7303 0.8268 0.8072  2 N 2.45-2.64
Nd 0.8268 0.7303 0.3072  2 N 2.45-2.64
Nd 0.9422 0.3419 0.1460  1 N 2.49
Zn 0.3845 0.6155 0.2500  6 Nd 2.95-3.21
Zn 0.6155 0.3845 0.7500  6 Nd 2.95-3.21
N 0.0682 0.9318 0.7500  6 Nd 2.45-2.64
N 0.9318 0.0682 0.2500  6 Nd 2.45-2.64

Summary:
Crystal system: monoclinic
Symmetry: No. 15
Uncorrected formation energy, kJ/mol of atoms: -42

***

PrSm6Dy3Tm2: relaxed, GGA-PBE.

Cell: 6.2214 6.2214 11.8709 Å, 95.00 95.00 119.98°
Last column: nearest neighbours and their distance in Å.
Atoms (fractional coordinates):
Pr 0.0000 0.0000 0.0000  6 Tm 3.59, 6 Sm 3.59-3.60
Sm 0.0841 0.4187 0.2509  3 Dy 3.57-3.58, 6 Sm 3.58-3.61, 2 Tm 3.59, 1 Pr 3.60
Sm 0.2504 0.2504 0.7493  3 Dy 3.57-3.58, 6 Sm 3.58-3.61, 2 Tm 3.59, 1 Pr 3.59
Sm 0.4187 0.0841 0.2509  3 Dy 3.57-3.58, 6 Sm 3.58-3.61, 2 Tm 3.59, 1 Pr 3.60
Sm 0.5813 0.9159 0.7491  3 Dy 3.57-3.58, 6 Sm 3.58-3.61, 2 Tm 3.59, 1 Pr 3.60
Sm 0.7496 0.7496 0.2507  3 Dy 3.57-3.58, 6 Sm 3.58-3.61, 2 Tm 3.59, 1 Pr 3.59
Sm 0.9159 0.5813 0.7491  3 Dy 3.57-3.58, 6 Sm 3.58-3.61, 2 Tm 3.59, 1 Pr 3.60
Dy 0.1670 0.8330 0.5000  6 Sm 3.57-3.58, 6 Dy 3.59-3.60
Dy 0.5000 0.5000 0.5000  6 Sm 3.57-3.58, 6 Dy 3.59
Dy 0.8330 0.1670 0.5000  6 Sm 3.57-3.58, 6 Dy 3.59-3.60
Tm 0.3334 0.6666 0.0000  6 Sm 3.59, 3 Tm 3.59, 3 Pr 3.59
Tm 0.6666 0.3334 0.0000  6 Sm 3.59, 3 Tm 3.59, 3 Pr 3.59

Summary:
Crystal system: monoclinic
Symmetry: No. 12
Formation energy from the elements, eV per atom: 0.016

***

BPBrCl2: relaxed, GGA-PBE.

Cell: 5.2212 5.2212 5.1328 Å, 90.00 90.00 90.00°
Last column: nearest neighbours and their distance in Å.
Atoms (fractional coordinates):
B 0.0000 0.0000 0.0000  8 Cl 3.66, 4 P 3.69
P 0.5000 0.5000 0.0000  2 Br 2.57
Br 0.5000 0.5000 0.5000  2 P 2.57, 4 Cl 2.61
Cl 0.0000 0.5000 0.5000  2 Br 2.61
Cl 0.5000 0.0000 0.5000  2 Br 2.61

Summary:
Crystal system: tetragonal
Symmetry: No. 123
Uncorrected formation energy, kJ/mol of atoms: 154
Polymorph energy (0 for the lowest one), meV per atom: 969

***

Pm5Ni2Br2: relaxed, GGA-PBE.

Cell: 8.6327 8.6327 8.2305 Å, 90.00 90.00 51.50°
Last column: nearest neighbours and their distance in Å.
Atoms (fractional coordinates):
Pm 0.0000 0.0000 0.0000  2 Ni 2.87, 2 Br 3.18
Pm 0.0335 0.7347 0.6641  3 Ni 2.85-2.99
Pm 0.2347 0.5335 0.1641  3 Ni 2.85-2.99
Pm 0.2653 0.9665 0.6641  3 Ni 2.85-2.99
Pm 0.4665 0.7653 0.1641  3 Ni 2.85-2.99
Pm 0.5000 0.5000 0.5000  2 Ni 2.87, 2 Br 3.18
Pm 0.5335 0.2347 0.8359  3 Ni 2.85-2.99
Pm 0.7347 0.0335 0.3359  3 Ni 2.85-2.99
Pm 0.7653 0.4665 0.8359  3 Ni 2.85-2.99
Pm 0.9665 0.2653 0.3359  3 Ni 2.85-2.99
Ni 0.1406 0.8594 0.3813  7 Pm 2.85-2.99, 1 Ni 2.88
Ni 0.3594 0.6406 0.8813  7 Pm 2.85-2.99, 1 Ni 2.88
Ni 0.6406 0.3594 0.1187  7 Pm 2.85-2.99, 1 Ni 2.88
Ni 0.8594 0.1406 0.6187  7 Pm 2.85-2.99, 1 Ni 2.88
Br 0.2043 0.2043 0.0000  7 Pm 3.18-3.30
Br 0.2957 0.2957 0.5000  7 Pm 3.18-3.30
Br 0.7043 0.7043 0.5000  7 Pm 3.18-3.30
Br 0.7957 0.7957 0.0000  7 Pm 3.18-3.30

Summary:
Crystal system: orthorhombic
Symmetry: No. 64
Uncorrected formation energy, kJ/mol of atoms: -60

***

RbCuHgPd2: relaxed, GGA-PBE.

Cell: 5.2737 5.2737 5.3748 Å, 90.00 90.00 90.00°
Last column: nearest neighbours and their distance in Å.
Atoms (fractional coordinates):
Rb 0.0000 0.0000 0.0000  4 Pd 2.64, 2 Cu 2.69
Cu 0.0000 0.0000 0.5000  2 Rb 2.69
Hg 0.5000 0.5000 0.5000  4 Cu 3.73, 8 Pd 3.77
Pd 0.0000 0.5000 0.0000  2 Rb 2.64
Pd 0.5000 0.0000 0.0000  2 Rb 2.64

Summary:
Crystal system: tetragonal
Symmetry: No. 123
Formation energy from the elements, eV per atom: 1.357

***

K3Hg2Pb4: relaxed, GGA-PBE.

Cell: 5.5090 6.9196 9.5361 Å, 76.23 80.27 67.50°
Last column: nearest neighbours and their distance in Å.
Atoms (fractional coordinates):
K 0.0000 0.0000 0.0000  2 Hg 3.53, 4 Pb 3.54-3.62, 2 K 3.91
K 0.3492 0.8744 0.3530  2 Hg 3.39-3.64, 1 Pb 3.71
K 0.6508 0.1256 0.6470  2 Hg 3.39-3.64, 1 Pb 3.71
Hg 0.3480 0.7233 0.7183  4 Pb 3.04-3.30, 1 K 3.39
Hg 0.6520 0.2767 0.2817  4 Pb 3.04-3.30, 1 K 3.39
Pb 0.0293 0.4789 0.3251  2 Hg 3.04-3.17, 2 Pb 3.32-3.37
Pb 0.3176 0.3558 0.0069  2 Hg 3.28-3.30, 3 Pb 3.30-3.32, 2 K 3.54-3.62
Pb 0.6824 0.6442 0.9931  2 Hg 3.28-3.30, 3 Pb 3.30-3.32, 2 K 3.54-3.62
Pb 0.9707 0.5211 0.6749  2 Hg 3.04-3.17, 2 Pb 3.32-3.37

Summary:
Crystal system: triclinic
Symmetry: No. 2
Formation energy from the elements, eV per atom: -0.126

***

| no. | density of states at the Fermi level (states/eV/f.u.) | mass density (g cm⁻³) |
| --- | --- | --- |
| 1 | 1.7 | 8.02 |
| 2 | 1.3 | 4.45 |
| 3 | 2.6 | 5.51 |
| 4 | 2.7 | 8.30 |
| 5 | 5.9 | 3.89 |
| 6 | 1.0 | 5.34 |
| 7 | 6.5 | 6.73 |
| 8 | 14.8 | 7.92 |
| 9 | 2.9 | 2.29 |
| 10 | 6.8 | 6.93 |
| 11 | 0.7 | 6.25 |
| 12 | 3.4 | 6.88 |